1.
Here is KHSe2 at its PBEsol-relaxed geometry from the Alexandria database. Energies are from SCAN.

a = 4.4986 Å, b = 4.4986 Å, c = 16.7979 Å
α = 90.00°, β = 90.00°, γ = 120.00°
Space group R-3m (No. 166, hexagonal axes)
Unique sites:
K  0.0000  0.0000  0.0000 x3
H  0.0000  0.0000  0.5000 x3
Se  0.0000  0.0000  0.1818 x6

Computed properties:
E above lowest polymorph = 0.0391 eV/atom



2.
Here is BaAlCuTe2 at its PBEsol-relaxed geometry from the Alexandria database. Energies are from SCAN.

a = 5.537 Å, b = 5.537 Å, c = 4.660 Å
α = 90.00°, β = 90.00°, γ = 90.00°
Space group P4/mmm (No. 123)
Unique sites:
Ba  0.000  0.000  0.000 x1
Al  0.500  0.500  0.500 x1
Cu  0.500  0.500  0.000 x1
Te  0.000  0.500  0.500 x2

Computed properties:
Formation energy (no corrections) = -0.552 eV per atom



3.
Here is Ca2Cu2B at its PBEsol-relaxed geometry from the Alexandria database. Energies are from SCAN.

a = 3.302 Å, b = 3.302 Å, c = 16.667 Å
α = 90.00°, β = 90.00°, γ = 90.00°
Space group I4/mmm (No. 139)
Unique sites:
Ca  0.000  0.000  0.095 x4
Cu  0.000  0.500  0.250 x4
B  0.000  0.000  0.500 x2

Computed properties:
ΔH_f (0 K) = 1.53 eV per formula unit



4.
Here is CrGa4 at its PBEsol-relaxed geometry from the Alexandria database. Energies are from SCAN.

a = 5.572 Å, b = 5.572 Å, c = 5.572 Å
α = 90.00°, β = 90.00°, γ = 90.00°
Space group Im-3m (No. 229)
Unique sites:
Cr  0.000  0.000  0.000 x2
Ga  0.250  0.250  0.250 x8

Computed properties:
ΔH_f (0 K) = -0.86 eV per formula unit



5.
Here is HgSbPbI2 at its PBEsol-relaxed geometry from the Alexandria database. Energies are from SCAN.

a = 6.128 Å, b = 6.128 Å, c = 5.754 Å
α = 90.00°, β = 90.00°, γ = 90.00°
Space group P4/mmm (No. 123)
Unique sites:
Hg  0.000  0.000  0.000 x1
Sb  0.500  0.500  0.000 x1
Pb  0.000  0.000  0.500 x1
I  0.000  0.500  0.500 x2

Computed properties:
Formation energy (no corrections) = 0.282 eV per atom



6.
Here is Sc3HgSe at its PBEsol-relaxed geometry from the Alexandria database. Energies are from SCAN.

a = 4.896 Å, b = 4.896 Å, c = 4.896 Å
α = 90.00°, β = 90.00°, γ = 90.00°
Space group Pm-3m (No. 221)
Unique sites:
Sc  0.000  0.000  0.500 x3
Hg  0.500  0.500  0.500 x1
Se  0.000  0.000  0.000 x1

Computed properties:
Formation energy (no corrections) = -0.655 eV per atom
E above lowest polymorph = 0.0000 eV/atom



7.
Here is BaRu2Pt at its PBEsol-relaxed geometry from the Alexandria database. Energies are from SCAN.

a = 2.833 Å, b = 3.911 Å, c = 7.000 Å
α = 90.00°, β = 90.00°, γ = 90.00°
Space group Pmmm (No. 47)
Unique sites:
Ba  0.000  0.000  0.000 x1
Ru  0.500  0.500  0.327 x2
Pt  0.000  0.000  0.500 x1

Computed properties:
E above lowest polymorph = 0.5483 eV/atom
ΔH_f (0 K) = 2.51 eV per formula unit



8.
Here is GaTcBiTe2 at its PBEsol-relaxed geometry from the Alexandria database. Energies are from SCAN.

a = 5.200 Å, b = 5.200 Å, c = 5.249 Å
α = 90.00°, β = 90.00°, γ = 90.00°
Space group P4/mmm (No. 123)
Unique sites:
Ga  0.000  0.000  0.000 x1
Tc  0.500  0.500  0.500 x1
Bi  0.500  0.500  0.000 x1
Te  0.000  0.500  0.500 x2

Computed properties:
Formation energy (no corrections) = 0.577 eV per atom



9.
Here is EuHgAu2 at its PBEsol-relaxed geometry from the Alexandria database. Energies are from SCAN.

a = 7.006 Å, b = 7.006 Å, c = 7.006 Å
α = 90.00°, β = 90.00°, γ = 90.00°
Space group Fm-3m (No. 225)
Unique sites:
Eu  0.000  0.000  0.000 x4
Hg  0.000  0.000  0.500 x4
Au  0.250  0.250  0.250 x8

Computed properties:
ΔH_f (0 K) = -2.52 eV per formula unit



10.
Here is Ta2CdHg at its PBEsol-relaxed geometry from the Alexandria database. Energies are from SCAN.

a = 2.868 Å, b = 4.447 Å, c = 5.712 Å
α = 90.00°, β = 90.00°, γ = 90.00°
Space group Pmmm (No. 47)
Unique sites:
Ta  0.000  0.000  0.248 x2
Cd  0.500  0.500  0.000 x1
Hg  0.500  0.500  0.500 x1

Computed properties:
E above lowest polymorph = 0.0000 eV/atom
ΔH_f (0 K) = 1.05 eV per formula unit



11.
Here is SrCuIr2 at its PBEsol-relaxed geometry from the Alexandria database. Energies are from SCAN.

a = 2.887 Å, b = 4.762 Å, c = 4.805 Å
α = 90.00°, β = 90.00°, γ = 90.00°
Space group Pmmm (No. 47)
Unique sites:
Sr  0.000  0.000  0.000 x1
Cu  0.500  0.500  0.000 x1
Ir  0.000  0.500  0.500 x1
Ir  0.500  0.000  0.500 x1

Computed properties:
E above lowest polymorph = 0.2333 eV/atom
ΔH_f (0 K) = 1.66 eV per formula unit



12.
Here is Ba2NiCCl at its PBEsol-relaxed geometry from the Alexandria database. Energies are from SCAN.

a = 5.751 Å, b = 5.751 Å, c = 4.040 Å
α = 90.00°, β = 90.00°, γ = 90.00°
Space group P4/mmm (No. 123)
Unique sites:
Ba  0.000  0.500  0.000 x2
Ni  0.000  0.000  0.500 x1
C  0.500  0.500  0.500 x1
Cl  0.500  0.500  0.000 x1

Computed properties:
Formation energy (no corrections) = 0.662 eV per atom



> Number 11 is which compound?

SrCuIr2



Please write out number 9 again, unchanged.
Here is EuHgAu2 at its PBEsol-relaxed geometry from the Alexandria database. Energies are from SCAN.

a = 7.006 Å, b = 7.006 Å, c = 7.006 Å
α = 90.00°, β = 90.00°, γ = 90.00°
Space group Fm-3m (No. 225)
Unique sites:
Eu  0.000  0.000  0.000 x4
Hg  0.000  0.000  0.500 x4
Au  0.250  0.250  0.250 x8

Computed properties:
ΔH_f (0 K) = -2.52 eV per formula unit